[1]
# Na3H12Ru2C4O18 | the Alexandria database | PBE-GGA | relaxed
data_Na3H12Ru2C4O18
_chemical_formula_sum 'Na6 H24 Ru4 C8 O36'
_cell_length_a 9.644
_cell_length_b 9.730
_cell_length_c 9.885
_cell_angle_alpha 71.37
_cell_angle_beta 73.39
_cell_angle_gamma 88.32
_symmetry_space_group_name_H-M 'P 1'
_symmetry_Int_Tables_number 1
loop_
_symmetry_equiv_pos_as_xyz
'x,y,z'
loop_
_atom_site_label
_atom_site_fract_x
_atom_site_fract_y
_atom_site_fract_z
_atom_site_occupancy
Na1 0.000 0.000 0.000 1
Na2 0.006 0.209 0.235 1
Na3 0.370 0.447 0.827 1
Na4 0.534 0.608 0.099 1
Na5 0.631 0.769 0.405 1
Na6 0.967 0.167 0.624 1
H1 0.079 0.465 0.983 1
H2 0.153 0.735 0.051 1
H3 0.161 0.483 0.094 1
H4 0.169 0.336 0.387 1
H5 0.180 0.962 0.194 1
H6 0.233 0.840 0.895 1
H7 0.234 0.185 0.393 1
H8 0.259 0.117 0.092 1
H9 0.390 0.589 0.417 1
H10 0.450 0.269 0.090 1
H11 0.485 0.715 0.832 1
H12 0.489 0.185 0.970 1
H13 0.513 0.030 0.259 1
H14 0.525 0.501 0.388 1
H15 0.554 0.945 0.140 1
H16 0.612 0.631 0.769 1
H17 0.746 0.097 0.139 1
H18 0.754 0.008 0.869 1
H19 0.767 0.372 0.332 1
H20 0.826 0.253 0.041 1
H21 0.842 0.730 0.138 1
H22 0.850 0.477 0.178 1
H23 0.856 0.888 0.830 1
H24 0.923 0.748 0.250 1
Ru1 0.048 0.500 0.660 1
Ru2 0.445 0.013 0.602 1
Ru3 0.557 0.204 0.627 1
Ru4 0.965 0.723 0.567 1
C1 0.133 0.607 0.330 1
C2 0.240 0.209 0.709 1
C3 0.255 0.742 0.598 1
C4 0.499 0.944 0.898 1
C5 0.507 0.270 0.330 1
C6 0.757 0.476 0.628 1
C7 0.765 0.008 0.518 1
C8 0.874 0.614 0.896 1
O1 0.056 0.716 0.354 1
O2 0.115 0.259 0.746 1
O3 0.135 0.804 0.961 1
O4 0.145 0.237 0.391 1
O5 0.150 0.501 0.447 1
O6 0.154 0.820 0.554 1
O7 0.155 0.425 0.031 1
O8 0.166 0.056 0.127 1
O9 0.191 0.603 0.200 1
O10 0.233 0.599 0.656 1
O11 0.248 0.087 0.678 1
O12 0.358 0.278 0.702 1
O13 0.378 0.799 0.583 1
O14 0.413 0.236 0.021 1
O15 0.440 0.893 0.816 1
O16 0.446 0.136 0.390 1
O17 0.492 0.601 0.357 1
O18 0.502 0.865 0.025 1
O19 0.511 0.347 0.200 1
O20 0.524 0.618 0.853 1
O21 0.556 0.080 0.840 1
O22 0.564 0.323 0.413 1
O23 0.590 0.979 0.209 1
O24 0.636 0.418 0.642 1
O25 0.646 0.940 0.528 1
O26 0.756 0.131 0.550 1
O27 0.773 0.620 0.585 1
O28 0.807 0.612 0.027 1
O29 0.840 0.157 0.104 1
O30 0.846 0.787 0.203 1
O31 0.856 0.984 0.846 1
O32 0.865 0.399 0.659 1
O33 0.866 0.407 0.269 1
O34 0.872 0.727 0.780 1
O35 0.889 0.962 0.477 1
O36 0.946 0.502 0.874 1
# Total magnetization, μB/atom: 0.08
# Total DFT energy (no corrections), eV/atom: -6.08
# Mass density, g cm⁻³: 2.45
# Calculated volume, Å³ per cell: 840.30

***

[2]
# Ga2RhAu | the Alexandria database | PBE-GGA | relaxed
data_Ga2RhAu
_chemical_formula_sum 'Ga6 Rh3 Au3'
_cell_length_a 3.0504
_cell_length_b 3.0504
_cell_length_c 24.2611
_cell_angle_alpha 90.00
_cell_angle_beta 90.00
_cell_angle_gamma 120.00
_symmetry_space_group_name_H-M 'R 3 m'
_symmetry_Int_Tables_number 160
_symmetry_space_group_name_Hall 'R 3 -2"'
loop_
_atom_site_label
_atom_site_fract_x
_atom_site_fract_y
_atom_site_fract_z
_atom_site_occupancy
Ga1 0.0000 0.0000 0.0000 1
Ga2 0.0000 0.0000 0.1814 1
Rh1 0.0000 0.0000 0.5903 1
Au1 0.0000 0.0000 0.4254 1
# Total magnetization, μB/atom: 0.00
# Total DFT energy (no corrections), eV/atom: -4.49
# Formation enthalpy at 0 K, eV per atom: -0.3195
# Mass density, g cm⁻³: 11.19
# Energy above the most stable polymorph in this dataset, meV/atom: 20
# Calculated volume, Å³ per cell: 195.50

***

[3]
# Sm3Dy2Sb3 | the Alexandria database | PBE-GGA | relaxed
data_Sm3Dy2Sb3
_chemical_formula_sum 'Sm6 Dy4 Sb6'
_cell_length_a 9.1057
_cell_length_b 9.1057
_cell_length_c 6.3977
_cell_angle_alpha 90.00
_cell_angle_beta 90.00
_cell_angle_gamma 120.00
_symmetry_space_group_name_H-M 'P 63/m c m'
_symmetry_Int_Tables_number 193
_symmetry_space_group_name_Hall '-P 6c 2'
loop_
_atom_site_label
_atom_site_fract_x
_atom_site_fract_y
_atom_site_fract_z
_atom_site_occupancy
Sm1 0.0000 0.2479 0.2500 1
Dy1 0.3333 0.6667 0.0000 1
Sb1 0.0000 0.3913 0.7500 1
# Total magnetization, μB/atom: 0.00
# Uncorrected formation energy, eV per atom: -0.95
# Total DFT energy (no corrections), eV/atom: -5.42
# Mass density, g cm⁻³: 8.25
# Calculated volume, Å³ per cell: 459.39

***

[4]
# Na2Pt | the Alexandria database | PBE-GGA | relaxed
data_Na2Pt
_chemical_formula_sum 'Na8 Pt4'
_cell_length_a 5.015
_cell_length_b 5.039
_cell_length_c 10.037
_cell_angle_alpha 90.00
_cell_angle_beta 90.00
_cell_angle_gamma 90.00
_symmetry_space_group_name_H-M 'P n m a'
_symmetry_Int_Tables_number 62
loop_
_symmetry_equiv_pos_as_xyz
'x,y,z'
'-x,-y,-z'
'-x+1/2,-y,z+1/2'
'x+1/2,y,-z+1/2'
'x+1/2,-y+1/2,-z+1/2'
'-x+1/2,y+1/2,z+1/2'
'-x,y+1/2,-z'
'x,-y+1/2,z'
loop_
_atom_site_label
_atom_site_fract_x
_atom_site_fract_y
_atom_site_fract_z
_atom_site_occupancy
Na1 0.154 0.250 0.166 1
Na2 0.195 0.250 0.503 1
Pt1 0.199 0.250 0.792 1
# Total magnetization, μB/atom: 0.00
# Total DFT energy (no corrections), eV/atom: -3.03
# Formation enthalpy at 0 K, eV per atom: -0.1326
# Mass density, g cm⁻³: 6.31
# Calculated volume, Å³ per cell: 253.69

***

[5]
# TlSnRh2 | the Alexandria database | PBE-GGA | relaxed
data_TlSnRh2
_chemical_formula_sum 'Tl1 Sn1 Rh2'
_cell_length_a 3.169
_cell_length_b 3.169
_cell_length_c 7.175
_cell_angle_alpha 90.00
_cell_angle_beta 90.00
_cell_angle_gamma 90.00
_symmetry_space_group_name_H-M 'P 4/m m m'
_symmetry_Int_Tables_number 123
_symmetry_space_group_name_Hall '-P 4 2'
loop_
_atom_site_label
_atom_site_fract_x
_atom_site_fract_y
_atom_site_fract_z
_atom_site_occupancy
Tl1 0.000 0.000 0.000 1
Sn1 0.000 0.000 0.500 1
Rh1 0.500 0.500 0.276 1
# Total magnetization, μB/atom: 0.00
# Total DFT energy (no corrections), eV/atom: -5.44
# Formation enthalpy at 0 K, eV per atom: -0.1722
# Mass density, g cm⁻³: 12.19
# Calculated volume, Å³ per cell: 72.03

***

[6]
# ZrPd3 | the Alexandria database | PBE-GGA | relaxed
data_ZrPd3
_chemical_formula_sum 'Zr4 Pd12'
_cell_length_a 5.6968
_cell_length_b 5.6968
_cell_length_c 9.3551
_cell_angle_alpha 90.00
_cell_angle_beta 90.00
_cell_angle_gamma 120.00
_symmetry_space_group_name_H-M 'P 63/m m c'
_symmetry_Int_Tables_number 194
_symmetry_space_group_name_Hall '-P 6c 2c'
loop_
_atom_site_label
_atom_site_fract_x
_atom_site_fract_y
_atom_site_fract_z
_atom_site_occupancy
Zr1 0.0000 0.0000 0.0000 1
Zr2 0.3333 0.6667 0.2500 1
Pd1 0.0000 0.5000 0.0000 1
Pd2 0.1695 0.3390 0.7500 1
# Total magnetization, μB/atom: 0.00
# Total DFT energy (no corrections), eV/atom: -6.84
# Formation enthalpy at 0 K, eV per atom: -0.8106
# Mass density, g cm⁻³: 10.37
# Calculated volume, Å³ per cell: 262.93

***

[7]
# Fe2CoPt5 | the Alexandria database | PBE-GGA | relaxed
data_Fe2CoPt5
_chemical_formula_sum 'Fe4 Co2 Pt10'
_cell_length_a 5.472
_cell_length_b 10.946
_cell_length_c 3.850
_cell_angle_alpha 90.00
_cell_angle_beta 90.00
_cell_angle_gamma 90.00
_symmetry_space_group_name_H-M 'P b a m'
_symmetry_Int_Tables_number 55
loop_
_symmetry_equiv_pos_as_xyz
'x,y,z'
'-x,-y,-z'
'-x,-y,z'
'x,y,-z'
'x+1/2,-y+1/2,-z'
'-x+1/2,y+1/2,z'
'-x+1/2,y+1/2,-z'
'x+1/2,-y+1/2,z'
loop_
_atom_site_label
_atom_site_fract_x
_atom_site_fract_y
_atom_site_fract_z
_atom_site_occupancy
Fe1 0.247 0.122 0.000 1
Co1 0.000 0.000 0.500 1
Pt1 0.000 0.500 0.500 1
Pt2 0.008 0.245 0.500 1
Pt3 0.239 0.881 0.000 1
# Total magnetization, μB/atom: 1.28
# Total DFT energy (no corrections), eV/atom: -7.00
# Formation enthalpy at 0 K, eV per atom: -0.2186
# Mass density, g cm⁻³: 16.51
# Calculated volume, Å³ per cell: 230.59

***

[8]
# TlSeIN2 | the Alexandria database | PBE-GGA | relaxed
data_TlSeIN2
_chemical_formula_sum 'Tl1 Se1 I1 N2'
_cell_length_a 4.258
_cell_length_b 4.258
_cell_length_c 7.869
_cell_angle_alpha 90.00
_cell_angle_beta 90.00
_cell_angle_gamma 90.00
_symmetry_space_group_name_H-M 'P 4/m m m'
_symmetry_Int_Tables_number 123
_symmetry_space_group_name_Hall '-P 4 2'
loop_
_atom_site_label
_atom_site_fract_x
_atom_site_fract_y
_atom_site_fract_z
_atom_site_occupancy
Tl1 0.000 0.000 0.000 1
Se1 0.500 0.500 0.500 1
I1 0.500 0.500 0.000 1
N1 0.000 0.500 0.500 1
# Total magnetization, μB/atom: 0.45
# Uncorrected formation energy, eV per atom: 1.50
# Total DFT energy (no corrections), eV/atom: -3.31
# Mass density, g cm⁻³: 5.10
# Energy above the most stable polymorph in this dataset, meV/atom: 0
# Calculated volume, Å³ per cell: 142.64

***

[9]
# Tb2NdAg3S6 | the Alexandria database | PBE-GGA | relaxed
data_Tb2NdAg3S6
_chemical_formula_sum 'Tb4 Nd2 Ag6 S12'
_cell_length_a 15.550
_cell_length_b 4.117
_cell_length_c 9.546
_cell_angle_alpha 90.00
_cell_angle_beta 105.06
_cell_angle_gamma 90.00
_symmetry_space_group_name_H-M 'C 1 2/m 1'
_symmetry_Int_Tables_number 12
loop_
_symmetry_equiv_pos_as_xyz
'x,y,z'
'-x,-y,-z'
'-x,y,-z'
'x,-y,z'
'x+1/2,y+1/2,z'
'-x+1/2,-y+1/2,-z'
'-x+1/2,y+1/2,-z'
'x+1/2,-y+1/2,z'
loop_
_atom_site_label
_atom_site_fract_x
_atom_site_fract_y
_atom_site_fract_z
_atom_site_occupancy
Tb1 0.166 0.000 0.337 1
Nd1 0.000 0.500 0.000 1
Ag1 0.000 0.500 0.500 1
Ag2 0.172 0.000 0.943 1
S1 0.012 0.000 0.800 1
S2 0.157 0.500 0.522 1
S3 0.186 0.500 0.145 1
# Total magnetization, μB/atom: 0.00
# Uncorrected formation energy, eV per atom: -1.29
# Total DFT energy (no corrections), eV/atom: -5.24
# Mass density, g cm⁻³: 5.50
# Calculated volume, Å³ per cell: 590.23

***

[10]
# Pr2Ho3Ag2 | the Alexandria database | PBE-GGA | relaxed
data_Pr2Ho3Ag2
_chemical_formula_sum 'Pr4 Ho6 Ag4'
_cell_length_a 10.834
_cell_length_b 5.055
_cell_length_c 8.280
_cell_angle_alpha 90.00
_cell_angle_beta 114.81
_cell_angle_gamma 90.00
_symmetry_space_group_name_H-M 'C 1 2/m 1'
_symmetry_Int_Tables_number 12
loop_
_symmetry_equiv_pos_as_xyz
'x,y,z'
'-x,-y,-z'
'-x,y,-z'
'x,-y,z'
'x+1/2,y+1/2,z'
'-x+1/2,-y+1/2,-z'
'-x+1/2,y+1/2,-z'
'x+1/2,-y+1/2,z'
loop_
_atom_site_label
_atom_site_fract_x
_atom_site_fract_y
_atom_site_fract_z
_atom_site_occupancy
Pr1 0.121 0.000 0.263 1
Ho1 0.000 0.500 0.500 1
Ho2 0.140 0.500 0.959 1
Ag1 0.153 0.000 0.676 1
# Total magnetization, μB/atom: 0.00
# Total DFT energy (no corrections), eV/atom: -4.22
# Formation enthalpy at 0 K, eV per atom: -0.0818
# Mass density, g cm⁻³: 8.01
# Calculated volume, Å³ per cell: 411.59

***

[11]
# NbGeMo | the Alexandria database | PBE-GGA | relaxed
data_NbGeMo
_chemical_formula_sum 'Nb4 Ge4 Mo4'
_cell_length_a 4.5522
_cell_length_b 4.5522
_cell_length_c 11.1063
_cell_angle_alpha 90.00
_cell_angle_beta 90.00
_cell_angle_gamma 120.00
_symmetry_space_group_name_H-M 'P 63/m m c'
_symmetry_Int_Tables_number 194
_symmetry_space_group_name_Hall '-P 6c 2c'
loop_
_atom_site_label
_atom_site_fract_x
_atom_site_fract_y
_atom_site_fract_z
_atom_site_occupancy
Nb1 0.0000 0.0000 0.0000 1
Nb2 0.0000 0.0000 0.2500 1
Ge1 0.3333 0.6667 0.1141 1
Mo1 0.3333 0.6667 0.6323 1
# Total magnetization, μB/atom: 0.00
# Total DFT energy (no corrections), eV/atom: -8.60
# Formation enthalpy at 0 K, eV per atom: -0.0918
# Mass density, g cm⁻³: 8.71
# Calculated volume, Å³ per cell: 199.32

***

[12]
# MnAsRh2N | the Alexandria database | PBE-GGA | relaxed
data_MnAsRh2N
_chemical_formula_sum 'Mn1 As1 Rh2 N1'
_cell_length_a 3.965
_cell_length_b 3.965
_cell_length_c 4.349
_cell_angle_alpha 90.00
_cell_angle_beta 90.00
_cell_angle_gamma 90.00
_symmetry_space_group_name_H-M 'P 4/m m m'
_symmetry_Int_Tables_number 123
_symmetry_space_group_name_Hall '-P 4 2'
loop_
_atom_site_label
_atom_site_fract_x
_atom_site_fract_y
_atom_site_fract_z
_atom_site_occupancy
Mn1 0.000 0.000 0.000 1
As1 0.500 0.500 0.000 1
Rh1 0.000 0.500 0.500 1
N1 0.500 0.500 0.500 1
# Total magnetization, μB/atom: 0.12
# Uncorrected formation energy, eV per atom: 0.73
# Total DFT energy (no corrections), eV/atom: -6.64
# Mass density, g cm⁻³: 8.49
# Calculated volume, Å³ per cell: 68.39